Entry 1:
Here is a relaxed Er3Co crystal from the Alexandria database. Energies are from PBE-GGA.

Cell and atoms, written as extended XYZ:
```
32
Lattice="6.1952 0.0000 0.0000 0.0000 11.2435 0.0000 0.0000 0.0000 11.2435" Properties=species:S:1:pos:R:3 pbc="T T T"
Er 0.3543 3.1959 9.4777
Er 0.3543 8.0476 1.7658
Er 3.4518 7.3876 8.8176
Er 3.4518 3.8559 2.4259
Er 2.7433 2.4259 7.3876
Er 2.7433 8.8176 3.8559
Er 5.8409 9.4777 8.0476
Er 5.8409 1.7658 3.1959
Er 3.4781 4.0754 10.3067
Er 3.4781 7.1681 0.9369
Er 0.3805 6.5586 9.6972
Er 0.3805 4.6849 1.5463
Er 5.8147 1.5463 6.5586
Er 5.8147 9.6972 4.6849
Er 2.7171 10.3067 7.1681
Er 2.7171 0.9369 4.0754
Er 4.4777 0.6896 9.7757
Er 4.4777 10.5539 1.4678
Er 1.3802 7.0896 6.3114
Er 1.3802 4.1539 4.9322
Er 4.8150 4.9322 7.0896
Er 4.8150 6.3114 4.1539
Er 1.7174 9.7757 10.5539
Er 1.7174 1.4678 0.6896
Co 4.6825 9.0797 10.4555
Co 4.6825 2.1638 0.7880
Co 1.5850 6.4097 3.4580
Co 1.5850 4.8338 7.7855
Co 4.6102 7.7855 6.4097
Co 4.6102 3.4580 4.8338
Co 1.5126 10.4555 2.1638
Co 1.5126 0.7880 9.0797
```

Computed properties:
D(E_F) ... 32.2 states/eV per cell
Symmetry ... P4_2/n, No. 86
Total DFT energy (no corrections) ... -5.304 eV per atom
Energy of formation from the pure elements ... -41 kJ/mol of formula units


Entry 2:
Here is a relaxed Er2Co7 crystal from the Alexandria database. Energies are from PBE-GGA.

Cell and atoms, written as extended XYZ:
```
18
Lattice="12.3591 0.0045 0.0027 11.3726 4.8384 0.0027 11.3726 2.3208 4.2455" Properties=species:S:1:pos:R:3 pbc="T T T"
Er 33.2968 6.7948 4.0319
Er 5.1982 1.0608 0.6294
Er 1.8076 0.3689 0.2189
Er 29.9062 6.1029 3.6214
Co 21.4633 4.3800 2.5990
Co 13.6411 2.7837 1.6518
Co 15.2111 4.3678 2.5918
Co 19.3982 3.9586 3.7887
Co 15.7062 3.2051 0.4621
Co 15.7062 1.9414 2.5918
Co 19.3982 5.2223 1.6590
Co 11.8659 1.1626 2.1241
Co 25.3256 5.1682 3.0667
Co 17.5522 3.5818 2.1254
Co 19.8933 2.7959 1.6590
Co 11.3726 3.5796 2.1241
Co 9.7787 1.9955 1.1841
Co 11.8659 2.4214 0.0027
```

Computed properties:
D(E_F) ... 27.3 states/eV per cell
Symmetry ... R-3m, No. 166
Total DFT energy (no corrections) ... -6.724 eV per atom
Energy of formation from the pure elements ... -159 kJ/mol of formula units


Entry 3:
Here is a relaxed Er3Co crystal from the Alexandria database. Energies are from PBE-GGA.

Cell and atoms, written as extended XYZ:
```
16
Lattice="-0.6348 2.2449 5.5954 -6.3328 -4.0008 4.1708 4.9198 -4.2859 5.5618" Properties=species:S:1:pos:R:3 pbc="T T T"
Er -2.5720 -6.6933 10.5803
Er 0.8461 -0.4870 1.9100
Er -5.6544 -1.3281 8.1249
Er 3.2846 -3.5751 10.0406
Er 0.5652 -3.0589 7.8587
Er -2.6129 -2.9834 7.4678
Er -1.4487 -3.3853 11.0468
Er -0.5994 -2.6559 4.2825
Er -3.4019 -6.5350 7.5470
Er 1.5970 -0.3660 5.6391
Er -4.0283 -1.5066 4.6886
Er 1.7374 -3.6758 12.7811
Co 1.6495 -4.1986 5.1589
Co -3.0632 -4.0859 4.5790
Co -1.1830 -5.2272 8.5279
Co -0.8642 -0.8167 6.7946
```

Computed properties:
D(E_F) ... 12.3 states/eV per cell
Symmetry ... I-4, No. 82
Total DFT energy (no corrections) ... -5.301 eV per atom
Energy of formation from the pure elements ... -40 kJ/mol of formula units


Entry 4:
Here is a relaxed Er7Co3 crystal from the Alexandria database. Energies are from PBE-GGA.

Cell and atoms, written as extended XYZ:
```
20
Lattice="6.0600 0.0000 0.0000 0.0000 9.4763 0.0000 0.0000 -4.7382 8.2067" Properties=species:S:1:pos:R:3 pbc="T T T"
Er 0.8953 4.7382 2.7356
Er 3.9252 0.0000 5.4712
Er 5.7012 4.7382 6.1757
Er 5.7012 7.7174 1.0155
Er 5.7012 1.7589 1.0155
Er 2.6712 0.0000 2.0310
Er 2.6712 -2.9792 7.1912
Er 2.6712 2.9792 7.1912
Er 0.7368 0.0000 7.5262
Er 0.7368 1.7797 4.4436
Er 0.7368 -1.7797 4.4436
Er 3.7668 4.7382 0.6806
Er 3.7668 2.9585 3.7631
Er 3.7668 6.5179 3.7631
Co 5.1977 0.0000 3.1149
Co 5.1977 -2.0406 6.6493
Co 5.1977 2.0406 6.6493
Co 2.1677 4.7382 5.0919
Co 2.1677 6.7787 1.5574
Co 2.1677 2.6976 1.5574
```

Computed properties:
D(E_F) ... 13.1 states/eV per cell
Symmetry ... P6_3mc, No. 186
Total DFT energy (no corrections) ... -5.518 eV per atom
Energy of formation from the pure elements ... -185 kJ/mol of formula units


Entry 5:
Here is a relaxed ErCo3 crystal from the Alexandria database. Energies are from PBE-GGA.

Cell and atoms, written as extended XYZ:
```
8
Lattice="-0.7790 -0.8720 3.6187 -4.2469 -1.9842 -1.3923 2.9088 -5.7013 -0.7476" Properties=species:S:1:pos:R:3 pbc="T T T"
Er 0.9172 -4.3747 -0.8567
Er -2.2553 -3.3107 -1.2832
Co -0.6508 -6.4557 -1.6957
Co -0.6874 -1.2298 -0.4443
Co -0.3895 -0.4360 1.8094
Co -2.5130 -1.4281 1.1132
Co -1.6634 -5.6703 0.2739
Co -0.4537 -2.8872 1.2049
```

Computed properties:
D(E_F) ... 10.5 states/eV per cell
Symmetry ... Pmma, No. 51
Total DFT energy (no corrections) ... -6.560 eV per atom
Energy of formation from the pure elements ... -35 kJ/mol of formula units


Entry 6:
Here is a relaxed ErCo3 crystal from the Alexandria database. Energies are from PBE-GGA.

Cell and atoms, written as extended XYZ:
```
12
Lattice="8.5933 0.0019 0.0011 7.1698 4.7371 0.0011 7.1698 2.1555 4.2183" Properties=species:S:1:pos:R:3 pbc="T T T"
Er 19.7286 5.9311 3.6308
Er 3.2042 0.9633 0.5897
Er 0.0000 0.0000 0.0000
Co 13.1805 5.2656 1.7603
Co 7.6804 2.3090 1.4135
Co 15.2524 4.5854 2.8070
Co 9.7524 2.9319 0.3317
Co 9.7524 1.6289 2.4603
Co 13.1805 3.9625 3.8889
Co 9.0339 4.0189 2.4603
Co 13.8990 2.8755 1.7603
Co 11.4664 3.4472 2.1103
```

Computed properties:
D(E_F) ... 15.6 states/eV per cell
Symmetry ... R-3m, No. 166
Total DFT energy (no corrections) ... -6.682 eV per atom
Energy of formation from the pure elements ... -82 kJ/mol of formula units


Entry 7:
Here is a relaxed Er5Co3 crystal from the Alexandria database. Energies are from PBE-GGA.

Cell and atoms, written as extended XYZ:
```
32
Lattice="6.9907 0.0000 0.0000 0.0000 6.9907 0.0000 0.0000 0.0000 14.1007" Properties=species:S:1:pos:R:3 pbc="T T T"
Er 5.7489 5.7501 8.5539
Er 1.2417 5.7501 1.5036
Er 1.2406 5.7489 5.5468
Er 0.0000 3.4953 10.5735
Er 5.7501 1.2417 5.5468
Er 4.7371 4.7359 5.5468
Er 4.7359 2.2536 8.5539
Er 2.2547 4.7371 8.5539
Er 0.0000 3.4953 3.5232
Er 4.7359 4.7371 1.5036
Er 4.7371 2.2547 12.5972
Er 5.7501 5.7489 12.5972
Er 2.2536 2.2547 5.5468
Er 1.2417 1.2406 8.5539
Er 5.7489 1.2406 1.5036
Er 2.2536 4.7359 12.5972
Er 2.2547 2.2536 1.5036
Er 3.4953 0.0000 3.5272
Er 1.2406 1.2417 12.5972
Er 3.4953 0.0000 10.5776
Co 4.2889 2.7017 3.5252
Co 0.7936 6.1970 10.5756
Co 2.7017 2.7017 10.5756
Co 2.7017 4.2889 3.5252
Co 6.1970 6.1970 3.5252
Co 4.2889 4.2889 10.5756
Co 0.0000 3.4953 7.0535
Co 6.1970 0.7936 10.5756
Co 3.4953 0.0000 7.0472
Co 3.4953 0.0000 14.0976
Co 0.7936 0.7936 3.5252
Co 0.0000 3.4953 0.0031
```

Computed properties:
D(E_F) ... 29.0 states/eV per cell
Symmetry ... I4/mcm, No. 140
Total DFT energy (no corrections) ... -5.721 eV per atom
Energy of formation from the pure elements ... -158 kJ/mol of formula units


Entry 8:
Here is a relaxed Er3Co crystal from the Alexandria database. Energies are from PBE-GGA.

Cell and atoms, written as extended XYZ:
```
16
Lattice="-1.2886 -2.1878 -5.6287 -4.4893 -4.4516 2.7580 -6.7710 6.2771 -0.8897" Properties=species:S:1:pos:R:3 pbc="T T T"
Er -3.9040 -3.2913 -0.0159
Er -3.9454 1.5486 -0.8968
Er -6.1704 0.6350 -3.4193
Er -11.0781 0.3833 -3.1887
Er -8.6450 2.9291 -3.7445
Er -8.6035 -1.9108 -2.8636
Er -6.3785 -0.9972 -0.3410
Er -1.4708 -0.7455 -0.5716
Er -5.2353 -2.7260 -3.5676
Er -2.7071 -0.0189 -3.7083
Er -7.3137 2.3638 -0.1927
Er -9.8418 -0.3433 -0.0521
Co -5.7349 -2.4804 1.9689
Co -4.0174 -1.1494 -1.7124
Co -6.8140 2.1181 -5.7292
Co -8.5316 0.7872 -2.0479
```

Computed properties:
D(E_F) ... 18.4 states/eV per cell
Symmetry ... Pnma, No. 62
Total DFT energy (no corrections) ... -5.386 eV per atom
Energy of formation from the pure elements ... -72 kJ/mol of formula units


Question: Which value of total DFT energy (no corrections) does entry 2 give?
Answer: -6.724 eV per atom